(1)
{"formula": "NpBiCl6", "functional": "PBE-GGA", "state": "relaxed", "formation_energy_uncorrected_ev_per_atom": -1.325, "lattice": [[-1.3211, 3.8077, 5.4683], [-6.2634, 2.4283, 1.0144], [-4.0308, -3.1729, 5.4549]], "species": ["Cl", "Np", "Cl", "Cl", "Cl", "Bi", "Cl", "Cl"], "frac_coords": [[0.2464, 0.9082, 0.2512], [0.0000, 0.0000, 0.0000], [0.7536, 0.0918, 0.7488], [0.4057, 0.7539, 0.7486], [0.9083, 0.5942, 0.2514], [0.5000, 0.5000, 0.5000], [0.5943, 0.2461, 0.2514], [0.0917, 0.4058, 0.7486]]}


(2)
{"formula": "Y8Ni2Hg", "functional": "PBE-GGA", "state": "relaxed", "ef_mev_per_atom": -149, "lattice": [[-4.4540, 3.0217, -0.6342], [1.6755, -1.0034, -7.6709], [-3.4504, -6.2207, 3.4719]], "species": ["Y", "Y", "Y", "Y", "Y", "Ni", "Y", "Y", "Ni", "Hg", "Y"], "frac_coords": [[0.9999, 0.2465, 0.7598], [0.5821, 0.0787, 0.3370], [0.9999, 0.7598, 0.2465], [0.4178, 0.6691, 0.9274], [0.4178, 0.9274, 0.6691], [0.4998, 0.3071, 0.6990], [0.5821, 0.3370, 0.0787], [0.8071, 0.6184, 0.6184], [0.4998, 0.6990, 0.3071], [0.0004, 0.0031, 0.0031], [0.1928, 0.3878, 0.3878]]}


DFT total energy (computed, eV per cell): -38.5 -65.2
Spin magnetization (computed, μB per cell): 4.00 0.00
Mass density (computed, g cm⁻³): 4.3 5.7